1.
A plane-wave DFT calculation with SCAN was carried out for a crystal of Na3LaF relaxed with PBEsol.

Its crystal system is cubic. The calculation puts the total magnetization at 0.00 μB per atom.

The structure belongs to space group Pm-3m (No. 221); the cell edges are 5.091, 5.091 and 5.091 Å and the angles 90.00°, 90.00° and 90.00°. The distinct sites, in fractional coordinates, are Na at (0.000, 0.000, 0.500), La at (0.500, 0.500, 0.500) and F at (0.000, 0.000, 0.000).

---

2.
A plane-wave DFT calculation with SCAN was carried out for a crystal of LaNb2TlF relaxed with PBEsol.

Its crystal system is tetragonal. The calculation puts the total magnetization at 0.67 μB per atom.

The structure belongs to space group P4/mmm (No. 123); the cell edges are 5.149, 5.149 and 4.360 Å and the angles 90.00°, 90.00° and 90.00°. The distinct sites, in fractional coordinates, are La at (0.000, 0.000, 0.000), Nb at (0.000, 0.500, 0.000), Tl at (0.500, 0.500, 0.500) and F at (0.000, 0.000, 0.500).

---

3.
A plane-wave DFT calculation with SCAN was carried out for a crystal of LaNiF3 relaxed with PBEsol.

Its crystal system is cubic. The calculation puts the total magnetization at 0.40 μB per atom.

The structure belongs to space group Pm-3m (No. 221); the cell edges are 4.634, 4.634 and 4.634 Å and the angles 90.00°, 90.00° and 90.00°. The distinct sites, in fractional coordinates, are La at (0.000, 0.000, 0.000), Ni at (0.500, 0.500, 0.500) and F at (0.000, 0.000, 0.500).

---

| no. | uncorrected formation energy (eV/atom) |
| --- | --- |
| 1 | -0.594 |
| 2 | 0.566 |
| 3 | -2.443 |